# Pr3Mg5O12

A relaxed Pr3Mg5O12 crystal (GGA-PBE, Alexandria via LeMat-Bulk).

Calculated density (g/cm3): 4.5
Electronic total energy (eV/cell): -511.4
Formation energy from raw total energies (eV per atom): -2.302

Geometry as POSCAR:
```
Pr3Mg5O12
1.0
-6.4711 6.4711 6.4711
6.4711 -6.4711 6.4711
6.4711 6.4711 -6.4711
Pr Mg O
12 20 48
Cartesian
3.2355 1.6178 0.0000 Pr
6.4711 3.2355 -1.6178 Pr
1.6178 0.0000 3.2355 Pr
8.0889 0.0000 3.2355 Pr
0.0000 3.2355 1.6178 Pr
3.2355 -1.6178 6.4711 Pr
3.2355 8.0889 0.0000 Pr
6.4711 3.2355 4.8533 Pr
-1.6178 6.4711 3.2355 Pr
4.8533 6.4711 3.2355 Pr
0.0000 3.2355 8.0889 Pr
3.2355 4.8533 6.4711 Pr
0.0000 0.0000 0.0000 Mg
3.2355 3.2355 -3.2355 Mg
3.2355 -3.2355 3.2355 Mg
6.4711 0.0000 0.0000 Mg
9.7066 1.6178 0.0000 Mg
6.4711 -3.2355 4.8533 Mg
4.8533 6.4711 -3.2355 Mg
4.8533 0.0000 3.2355 Mg
3.2355 4.8533 0.0000 Mg
6.4711 3.2355 1.6178 Mg
-3.2355 3.2355 3.2355 Mg
0.0000 6.4711 0.0000 Mg
0.0000 0.0000 6.4711 Mg
3.2355 3.2355 3.2355 Mg
0.0000 3.2355 4.8533 Mg
3.2355 1.6178 6.4711 Mg
1.6178 6.4711 3.2355 Mg
1.6178 0.0000 9.7066 Mg
0.0000 9.7066 1.6178 Mg
-3.2355 4.8533 6.4711 Mg
1.9509 -0.3518 0.7752 O
7.7557 4.0107 -3.5873 O
8.4220 0.3518 0.7752 O
7.7557 -2.4604 3.5873 O
6.1193 -0.7752 1.9509 O
10.0584 -1.2846 2.4604 O
0.7752 1.9509 -0.3518 O
8.9315 2.8838 -1.2846 O
4.0107 3.5873 -1.2846 O
5.6959 1.9509 0.3518 O
-0.3518 0.7752 1.9509 O
3.5873 -1.2846 4.0107 O
6.1193 5.6959 -1.9509 O
3.5873 1.2846 2.4604 O
4.0107 -3.5873 7.7557 O
5.6959 -1.9509 6.1193 O
2.4604 3.5873 1.2846 O
7.2463 4.5202 0.3518 O
3.5873 7.7557 -2.4604 O
6.1193 0.7752 4.5202 O
1.9509 6.1193 -0.7752 O
7.7557 2.4604 2.8838 O
1.2846 2.4604 3.5873 O
1.9509 0.3518 5.6959 O
4.5202 6.1193 0.7752 O
5.1865 4.0107 2.8838 O
-1.2846 4.0107 3.5873 O
4.5202 0.3518 7.2463 O
0.3518 5.6959 1.9509 O
2.8838 -1.2846 8.9315 O
-0.7752 1.9509 6.1193 O
4.0107 2.8838 5.1865 O
0.7752 8.4220 0.3518 O
2.4604 10.0584 -1.2846 O
2.8838 5.1865 4.0107 O
0.3518 0.7752 8.4220 O
2.8838 7.7557 2.4604 O
6.8229 5.6959 4.5202 O
0.7752 4.5202 6.1193 O
2.4604 2.8838 7.7557 O
-2.4604 3.5873 7.7557 O
5.6959 4.5202 6.8229 O
-3.5873 7.7557 4.0107 O
0.3518 7.2463 4.5202 O
-1.2846 8.9315 2.8838 O
-1.9509 6.1193 5.6959 O
-1.2846 2.4604 10.0584 O
4.5202 6.8229 5.6959 O
```


# TaMn2HOs

A relaxed TaMn2HOs crystal (GGA-PBE, Alexandria via LeMat-Bulk).

Calculated density (g/cm3): 13.9
Polymorph energy (0 for the lowest one) (meV per atom): 9.6
Electronic total energy (eV/cell): -45.0

Geometry as POSCAR:
```
TaMn2HOs
1.0
3.8082 0.0000 0.0000
0.0000 3.8082 0.0000
0.0000 0.0000 3.9752
Ta Mn H Os
1 2 1 1
Cartesian
0.0000 0.0000 0.0000 Ta
0.0000 1.9041 1.9876 Mn
1.9041 0.0000 1.9876 Mn
1.9041 1.9041 1.9876 H
1.9041 1.9041 0.0000 Os
```


# NaPm4Ga4

A relaxed NaPm4Ga4 crystal (GGA-PBE, Alexandria via LeMat-Bulk).

Calculated density (g/cm3): 5.9
Electronic total energy (eV/cell): -69.9
DFT formation energy (eV per atom): -0.2817

Geometry as POSCAR:
```
NaPm4Ga4
1.0
8.9551 0.0000 0.0000
0.0000 8.9551 0.0000
0.0000 0.0000 6.2020
Na Pm Ga
2 8 8
Cartesian
2.2388 2.2388 1.5505 Na
6.7163 6.7163 4.6515 Na
0.5060 5.9487 0.6826 Pm
1.4712 8.4490 3.7836 Pm
3.0064 4.9836 3.7836 Pm
3.9715 7.4839 0.6826 Pm
4.9836 1.4712 5.5195 Pm
5.9487 3.9715 2.4185 Pm
7.4839 0.5060 2.4185 Pm
8.4490 3.0064 5.5195 Pm
0.1331 5.5976 3.7226 Ga
1.1201 8.8220 0.6216 Ga
3.3575 4.6106 0.6216 Ga
4.3444 7.8350 3.7226 Ga
4.6106 1.1201 2.4795 Ga
5.5976 4.3444 5.5805 Ga
7.8350 0.1331 5.5805 Ga
8.8220 3.3575 2.4795 Ga
```


# AcSmGe2

A relaxed AcSmGe2 crystal (GGA-PBE, Alexandria via LeMat-Bulk).

Calculated density (g/cm3): 7.9
Electronic total energy (eV/cell): -21.0
DFT formation energy (eV per atom): -0.7325

Geometry as POSCAR:
```
AcSmGe2
1.0
4.1673 0.0000 0.0000
0.0000 2.2972 5.7490
0.0000 -2.2972 5.7490
Ac Sm Ge
1 1 2
Cartesian
0.0000 0.0000 0.0000 Ac
2.0837 0.0000 8.3326 Sm
0.0000 0.0000 3.1721 Ge
2.0837 0.0000 4.9448 Ge
```


# Pm4ScAl2

A relaxed Pm4ScAl2 crystal (GGA-PBE, Alexandria via LeMat-Bulk).

Calculated density (g/cm3): 5.7
Electronic total energy (eV/cell): -33.9
DFT formation energy (eV per atom): -0.1565

Geometry as POSCAR:
```
Pm4ScAl2
1.0
2.6179 1.5114 8.3235
-2.6179 1.5114 8.3235
0.0000 -3.0229 8.3235
Pm Sc Al
4 1 2
Cartesian
0.0000 0.0000 2.6609 Pm
0.0000 0.0000 9.1015 Pm
0.0000 0.0000 15.8691 Pm
0.0000 0.0000 22.3096 Pm
0.0000 0.0000 12.4853 Sc
0.0000 0.0000 5.8670 Al
0.0000 0.0000 19.1036 Al
```


# Ba2Pd4Pb3

A relaxed Ba2Pd4Pb3 crystal (GGA-PBE, Alexandria via LeMat-Bulk).

Calculated density (g/cm3): 9.6
Electronic total energy (eV/cell): -80.0
DFT formation energy (eV per atom): -0.4733

Geometry as POSCAR:
```
Ba2Pd4Pb3
1.0
3.3753 -8.7832 0.0000
3.3753 8.7832 0.0000
0.0000 0.0000 7.6863
Ba Pd Pb
4 8 6
Cartesian
3.3753 7.0029 7.0415 Ba
3.3753 1.7803 3.1983 Ba
3.3753 -1.7803 4.4880 Ba
3.3753 -7.0029 0.6448 Ba
3.3753 5.8652 3.8882 Pd
1.6877 1.2918 5.7647 Pd
1.6877 -1.2918 1.9216 Pd
3.3753 2.9180 0.0450 Pd
3.3753 -2.9180 7.6413 Pd
5.0630 1.2918 5.7647 Pd
5.0630 -1.2918 1.9216 Pd
3.3753 -5.8652 3.7982 Pd
0.0000 0.0000 3.8432 Pb
1.6877 4.1635 5.7647 Pb
1.6877 -4.1635 1.9216 Pb
3.3753 0.0000 0.0000 Pb
5.0630 4.1635 5.7647 Pb
5.0630 -4.1635 1.9216 Pb
```


# CdTe2F

A relaxed CdTe2F crystal (GGA-PBE, Alexandria via LeMat-Bulk).

Calculated density (g/cm3): 5.6
Polymorph energy (0 for the lowest one) (meV per atom): 9.7
Electronic total energy (eV/cell): -24.9
Formation energy from raw total energies (eV per atom): -0.845

Geometry as POSCAR:
```
CdTe2F
1.0
6.6270 -2.0722 0.0000
6.6270 2.0722 0.0000
-2.0338 0.0000 8.3758
Cd Te F
2 4 2
Cartesian
0.0000 0.0000 0.0000 Cd
6.9645 0.0000 6.4393 Cd
2.4749 0.0000 7.3431 Te
3.3129 0.0000 4.7002 Te
7.9218 0.0000 3.6469 Te
12.5550 0.0000 2.7309 Te
-0.8727 0.0000 6.4186 F
5.8350 0.0000 8.3685 F
```


# LiCrGaNi

A relaxed LiCrGaNi crystal (GGA-PBE, Alexandria via LeMat-Bulk).

Calculated density (g/cm3): 6.3
Electronic total energy (eV/cell): -20.6
DFT formation energy (eV per atom): -0.0616

Geometry as POSCAR:
```
LiCrGaNi
1.0
0.0000 2.9135 2.9135
2.9135 0.0000 2.9135
2.9135 2.9135 0.0000
Li Cr Ga Ni
1 1 1 1
Cartesian
0.0000 0.0000 0.0000 Li
1.4567 1.4567 1.4567 Cr
4.3702 4.3702 4.3702 Ga
2.9135 2.9135 2.9135 Ni
```